No. 1
# AlNiBiRh2 (PBE-GGA, relaxed)
# Total energy (eV/atom): -5.21
# Energy of formation (eV per atom): 0.412
data_AlNiBiRh2
_chemical_formula_sum 'Al1 Ni1 Bi1 Rh2'
_symmetry_space_group_name_H-M 'P 4/m m m'
_symmetry_Int_Tables_number 123
_symmetry_space_group_name_Hall '-P 4 2'
_cell_length_a 4.667
_cell_length_b 4.667
_cell_length_c 4.288
_cell_angle_alpha 90.00
_cell_angle_beta 90.00
_cell_angle_gamma 90.00
loop_
_atom_site_label
_atom_site_type_symbol
_atom_site_fract_x
_atom_site_fract_y
_atom_site_fract_z
Al1 Al 0.000 0.000 0.000
Ni1 Ni 0.000 0.000 0.500
Bi1 Bi 0.500 0.500 0.000
Rh1 Rh 0.000 0.500 0.500

---

No. 2
# AlNi2BiTe (PBE-GGA, relaxed)
# Formation energy (no corrections) (eV/atom): 0.92
# Total energy (eV/atom): -3.54
data_AlNi2BiTe
_chemical_formula_sum 'Al1 Ni2 Bi1 Te1'
_symmetry_space_group_name_H-M 'P 4/m m m'
_symmetry_Int_Tables_number 123
_symmetry_space_group_name_Hall '-P 4 2'
_cell_length_a 4.852
_cell_length_b 4.852
_cell_length_c 5.434
_cell_angle_alpha 90.00
_cell_angle_beta 90.00
_cell_angle_gamma 90.00
loop_
_atom_site_label
_atom_site_type_symbol
_atom_site_fract_x
_atom_site_fract_y
_atom_site_fract_z
Al1 Al 0.000 0.000 0.000
Ni1 Ni 0.000 0.500 0.500
Bi1 Bi 0.000 0.000 0.500
Te1 Te 0.500 0.500 0.000

---

No. 3
# Al2TlNiBi (PBE-GGA, relaxed)
# ΔE to the lowest computed polymorph (eV/atom): 0.0000
# Total energy (eV/atom): -3.01
# Energy of formation (eV per atom): 0.889
data_Al2TlNiBi
_chemical_formula_sum 'Al2 Tl1 Ni1 Bi1'
_symmetry_space_group_name_H-M 'P 4/m m m'
_symmetry_Int_Tables_number 123
_symmetry_space_group_name_Hall '-P 4 2'
_cell_length_a 5.192
_cell_length_b 5.192
_cell_length_c 4.864
_cell_angle_alpha 90.00
_cell_angle_beta 90.00
_cell_angle_gamma 90.00
loop_
_atom_site_label
_atom_site_type_symbol
_atom_site_fract_x
_atom_site_fract_y
_atom_site_fract_z
Al1 Al 0.000 0.500 0.000
Tl1 Tl 0.000 0.000 0.000
Ni1 Ni 0.000 0.000 0.500
Bi1 Bi 0.500 0.500 0.500

---

Results for total magnetic moment: 0.163 0.051 0.000 (in μB/atom, following the order of the records).